Entry 1:
VASP calculation (PBE) on a geometry-optimized CdTe2Au structure.

a = 3.973 Å, b = 3.973 Å, c = 7.348 Å
α = 90.00°, β = 90.00°, γ = 90.00°
Element x y z (fractional)
Cd1 0.000 0.000 0.000
Te1 0.000 0.000 0.610
Te2 0.500 0.500 0.140
Au1 0.500 0.500 0.529

Summary:
total moment	0.000	μB per atom
E	-10.9	eV/cell

***

Entry 2:
VASP calculation (PBE) on a geometry-optimized CdTe2Au structure.

a = 4.052 Å, b = 4.067 Å, c = 7.003 Å
α = 90.00°, β = 90.00°, γ = 90.00°
Element x y z (fractional)
Cd1 0.000 0.000 0.000
Te1 0.500 0.000 0.500
Te2 0.500 0.500 0.000
Au1 0.000 0.500 0.500

Summary:
total moment	0.000	μB per atom
E	-10.1	eV/cell

***

What are the ΔE_f (raw) values for these records? In order: -0.11; 0.09 eV per atom.